Record 1
Computed, not measured: a relaxed structure of Tl2TcSe3 at the GGA-PBE level of DFT.

POSCAR file:
```
Tl2TcSe3
1.0
7.809 0.000 0.000
0.000 3.812 0.000
-1.214 0.000 10.461
Tl Tc Se
4 2 6
direct
0.073 0.250 0.154
0.252 0.750 0.500
0.748 0.250 0.500
0.927 0.750 0.846
0.419 0.250 0.839
0.581 0.750 0.161
0.136 0.250 0.699
0.321 0.750 0.983
0.450 0.250 0.282
0.550 0.750 0.718
0.679 0.250 0.017
0.864 0.750 0.301
```

Symmetry = P2_1/m

***

Record 2
Computed, not measured: a relaxed structure of TlTc2Se4 at the GGA-PBE level of DFT.

POSCAR file:
```
TlTc2Se4
1.0
0.000 5.564 5.564
5.564 0.000 5.564
5.564 5.564 0.000
Tl Tc Se
2 4 8
direct
0.125 0.125 0.125
0.875 0.875 0.875
0.000 0.500 0.500
0.500 0.000 0.500
0.500 0.500 0.000
0.500 0.500 0.500
0.270 0.270 0.270
0.270 0.270 0.689
0.270 0.689 0.270
0.311 0.730 0.730
0.689 0.270 0.270
0.730 0.311 0.730
0.730 0.730 0.311
0.730 0.730 0.730
```

Symmetry = Fd-3m

***

Record 3
Computed, not measured: a relaxed structure of YTc3Se at the GGA-PBE level of DFT.

POSCAR file:
```
YTc3Se
1.0
4.600 0.000 0.000
0.000 4.600 0.000
0.000 0.000 4.600
Y Tc Se
1 3 1
direct
0.000 0.000 0.000
0.000 0.500 0.500
0.500 0.000 0.500
0.500 0.500 0.000
0.500 0.500 0.500
```

Symmetry = Pm-3m

***

no.,energy (eV/atom)
1,-4.505
2,-5.394
3,-7.739